Material: ZrTlInI2
Method: DFT, PBE
State: optimized geometry

abc: 6.198 6.198 5.765
angles: 90.00 90.00 90.00
Fractional positions:
Zr  0.000  0.000  0.000
Tl  0.500  0.500  0.000
In  0.000  0.000  0.500
I  0.000  0.500  0.500
I  0.500  0.000  0.500

## Properties
**SG**: P4/mmm (123)
**V**: 44.296 A^3/atom
**Final energy**: -2.845 eV per atom
**Uncorrected formation energy**: 0.5061 eV/atom

Material: Tm2In5I12
Method: DFT, PBE
State: optimized geometry

abc: 10.434 10.434 10.798
angles: 107.69 107.69 49.97
Fractional positions:
Tm  0.245  0.755  0.000
Tm  0.755  0.245  0.000
In  0.182  0.182  0.821
In  0.224  0.224  0.371
In  0.500  0.500  0.500
In  0.776  0.776  0.629
In  0.818  0.818  0.179
I  0.007  0.007  0.202
I  0.074  0.595  0.912
I  0.129  0.616  0.436
I  0.384  0.871  0.564
I  0.405  0.926  0.088
I  0.497  0.497  0.809
I  0.503  0.503  0.191
I  0.595  0.074  0.912
I  0.616  0.129  0.436
I  0.871  0.384  0.564
I  0.926  0.405  0.088
I  0.993  0.993  0.798

## Properties
**SG**: C2/m (12)
**V**: 44.632 A^3/atom
**Final energy**: -2.968 eV per atom
**Uncorrected formation energy**: -0.7972 eV/atom

Material: TmIn4I7
Method: DFT, PBE
State: optimized geometry

abc: 11.638 11.638 8.398
angles: 106.59 106.59 28.99
Fractional positions:
Tm  0.000  0.000  0.000
In  0.314  0.314  0.732
In  0.421  0.421  0.360
In  0.579  0.579  0.640
In  0.686  0.686  0.268
I  0.082  0.082  0.354
I  0.114  0.114  0.885
I  0.277  0.277  0.326
I  0.500  0.500  0.000
I  0.723  0.723  0.674
I  0.886  0.886  0.115
I  0.918  0.918  0.646

## Properties
**SG**: C2/m (12)
**V**: 43.899 A^3/atom
**Final energy**: -2.910 eV per atom
**Uncorrected formation energy**: -0.7207 eV/atom

Material: TmIn5I8
Method: DFT, PBE
State: optimized geometry

abc: 9.294 9.294 11.176
angles: 123.69 123.69 68.74
Fractional positions:
Tm  0.000  0.000  0.000
In  0.031  0.498  0.501
In  0.288  0.275  0.993
In  0.502  0.969  0.499
In  0.722  0.278  0.500
In  0.725  0.712  0.007
I  0.018  0.608  0.862
I  0.045  0.042  0.306
I  0.392  0.982  0.138
I  0.470  0.429  0.662
I  0.571  0.530  0.338
I  0.615  0.004  0.861
I  0.958  0.955  0.694
I  0.996  0.385  0.139

## Properties
**SG**: C2 (5)
**V**: 47.591 A^3/atom
**Final energy**: -2.887 eV per atom
**Uncorrected formation energy**: -0.7038 eV/atom

Material: TmIn2I8
Method: DFT, PBE
State: optimized geometry

abc: 9.158 9.158 7.450
angles: 98.92 98.92 77.96
Fractional positions:
Tm  0.000  0.000  0.000
In  0.198  0.198  0.670
In  0.802  0.802  0.330
I  0.100  0.734  0.209
I  0.190  0.190  0.273
I  0.266  0.900  0.791
I  0.388  0.388  0.848
I  0.612  0.612  0.152
I  0.734  0.100  0.209
I  0.810  0.810  0.727
I  0.900  0.266  0.791

## Properties
**SG**: C2/m (12)
**V**: 54.440 A^3/atom
**Final energy**: -2.768 eV per atom
**Uncorrected formation energy**: -0.7367 eV/atom

Material: UIn3I6
Method: DFT, PBE
State: optimized geometry

abc: 8.195 9.199 13.933
angles: 90.00 120.96 90.00
Fractional positions:
U  0.000  0.000  0.000
U  0.000  0.500  0.500
In  0.317  0.104  0.785
In  0.317  0.396  0.285
In  0.500  0.000  0.500
In  0.500  0.500  0.000
In  0.683  0.604  0.715
In  0.683  0.896  0.215
I  0.085  0.060  0.243
I  0.085  0.440  0.743
I  0.239  0.713  0.082
I  0.239  0.787  0.582
I  0.369  0.168  0.051
I  0.369  0.332  0.551
I  0.631  0.668  0.449
I  0.631  0.832  0.949
I  0.761  0.213  0.418
I  0.761  0.287  0.918
I  0.915  0.560  0.257
I  0.915  0.940  0.757

## Properties
**SG**: P2_1/c (14)
**V**: 45.038 A^3/atom
**Final energy**: -3.472 eV per atom
**Uncorrected formation energy**: -0.5917 eV/atom

Material: UIn2I8
Method: DFT, PBE
State: optimized geometry

abc: 8.801 8.801 10.016
angles: 116.60 116.60 77.99
Fractional positions:
U  0.000  0.000  0.000
In  0.091  0.091  0.668
In  0.909  0.909  0.332
I  0.156  0.764  0.187
I  0.236  0.844  0.813
I  0.255  0.255  0.262
I  0.329  0.329  0.807
I  0.671  0.671  0.193
I  0.745  0.745  0.738
I  0.764  0.156  0.187
I  0.844  0.236  0.813

## Properties
**SG**: C2/m (12)
**V**: 56.387 A^3/atom
**Final energy**: -3.263 eV per atom
**Uncorrected formation energy**: -0.6116 eV/atom

Material: U2InI8
Method: DFT, PBE
State: optimized geometry

abc: 10.549 10.549 6.204
angles: 90.00 90.00 120.00
Fractional positions:
U  0.333  0.667  0.241
U  0.667  0.333  0.759
In  0.000  0.000  0.000
I  0.171  0.345  0.258
I  0.173  0.829  0.258
I  0.333  0.667  0.749
I  0.345  0.173  0.742
I  0.655  0.827  0.258
I  0.667  0.333  0.251
I  0.827  0.171  0.742
I  0.829  0.655  0.742

## Properties
**SG**: P-3 (147)
**V**: 54.352 A^3/atom
**Final energy**: -4.051 eV per atom
**Uncorrected formation energy**: -0.6228 eV/atom

Material: UIn2I5
Method: DFT, PBE
State: optimized geometry

abc: 14.316 9.751 9.167
angles: 90.00 90.00 90.00
Fractional positions:
U  0.002  0.250  0.076
U  0.498  0.750  0.576
U  0.502  0.250  0.424
U  0.998  0.750  0.924
In  0.175  0.505  0.551
In  0.175  0.995  0.551
In  0.325  0.005  0.051
In  0.325  0.495  0.051
In  0.675  0.505  0.949
In  0.675  0.995  0.949
In  0.825  0.005  0.449
In  0.825  0.495  0.449
I  0.003  0.250  0.433
I  0.081  0.544  0.168
I  0.081  0.956  0.168
I  0.184  0.250  0.874
I  0.212  0.750  0.835
I  0.288  0.250  0.335
I  0.316  0.750  0.374
I  0.419  0.044  0.668
I  0.419  0.456  0.668
I  0.497  0.750  0.933
I  0.503  0.250  0.067
I  0.581  0.544  0.332
I  0.581  0.956  0.332
I  0.684  0.250  0.626
I  0.712  0.750  0.665
I  0.788  0.250  0.165
I  0.816  0.750  0.126
I  0.919  0.044  0.832
I  0.919  0.456  0.832
I  0.997  0.750  0.567

## Properties
**SG**: Pnma (62)
**V**: 39.987 A^3/atom
**Final energy**: -3.697 eV per atom
**Uncorrected formation energy**: -0.6323 eV/atom

Material: UIn6I12
Method: DFT, PBE
State: optimized geometry

abc: 9.703 9.703 9.703
angles: 99.43 99.43 99.43
Fractional positions:
U  0.000  0.000  0.000
In  0.164  0.347  0.637
In  0.347  0.637  0.164
In  0.363  0.836  0.653
In  0.637  0.164  0.347
In  0.653  0.363  0.836
In  0.836  0.653  0.363
I  0.019  0.922  0.698
I  0.078  0.302  0.981
I  0.172  0.559  0.411
I  0.302  0.981  0.078
I  0.411  0.172  0.559
I  0.441  0.589  0.828
I  0.559  0.411  0.172
I  0.589  0.828  0.441
I  0.698  0.019  0.922
I  0.828  0.441  0.589
I  0.922  0.698  0.019
I  0.981  0.078  0.302

## Properties
**SG**: R-3 (148)
**V**: 45.886 A^3/atom
**Final energy**: -2.947 eV per atom
**Uncorrected formation energy**: -0.5095 eV/atom

Material: UIn2I6
Method: DFT, PBE
State: optimized geometry

abc: 8.144 8.672 13.660
angles: 90.00 120.61 90.00
Fractional positions:
U  0.000  0.000  0.000
U  0.000  0.500  0.500
In  0.327  0.106  0.788
In  0.327  0.394  0.288
In  0.673  0.606  0.712
In  0.673  0.894  0.212
I  0.096  0.041  0.243
I  0.096  0.459  0.743
I  0.235  0.709  0.068
I  0.235  0.791  0.568
I  0.352  0.184  0.050
I  0.352  0.316  0.550
I  0.648  0.684  0.450
I  0.648  0.816  0.950
I  0.765  0.209  0.432
I  0.765  0.291  0.932
I  0.904  0.541  0.257
I  0.904  0.959  0.757

## Properties
**SG**: P2_1/c (14)
**V**: 46.123 A^3/atom
**Final energy**: -3.575 eV per atom
**Uncorrected formation energy**: -0.6790 eV/atom

Material: VIn2I
Method: DFT, PBE
State: optimized geometry

abc: 5.453 5.453 5.453
angles: 60.00 60.00 60.00
Fractional positions:
V  0.000  0.000  0.000
In  0.250  0.250  0.250
In  0.750  0.750  0.750
I  0.500  0.500  0.500

## Properties
**SG**: Fm-3m (225)
**V**: 28.658 A^3/atom
**Final energy**: -3.328 eV per atom
**Uncorrected formation energy**: 0.7085 eV/atom
**Relative energy among the computed polymorphs**: 273 meV per atom

| no. | magnetization (μB/f.u.) | Fermi-level density of states (states/eV/atom) |
| --- | --- | --- |
| 1 | 2.8 | 1.1072 |
| 2 | 0.0 | 0.3376 |
| 3 | 0.0 | 0.0000 |
| 4 | 0.0 | 0.0000 |
| 5 | 0.0 | 0.4040 |
| 6 | 3.0 | 0.0770 |
| 7 | 2.0 | 0.2722 |
| 8 | 5.0 | 1.7697 |
| 9 | 3.0 | 0.2692 |
| 10 | 1.2 | 1.0395 |
| 11 | 2.0 | 1.1888 |
| 12 | 3.9 | 1.9459 |